(1)
The following is a PBE calculation of a geometry-optimized NaYHg2 structure, from the Alexandria database.

```
NaYHg2
1.0
3.5689 0.0000 0.0000
0.0000 5.3285 0.0000
0.0000 0.0000 5.3285
Y Na Hg
1 1 2
Direct
0.5000 0.0000 0.0000
0.5000 0.5000 0.5000
0.0000 0.0000 0.5000
0.0000 0.5000 0.0000
```

Properties
The total magnetization is 0.0 μB per formula unit. The raw total energy comes out at -0.181 Ry/atom.


(2)
The following is a PBE calculation of a geometry-optimized NaY2Hg4 structure, from the Alexandria database.

```
NaY2Hg4
1.0
4.8562 0.0000 1.5172
2.1911 4.3338 1.5172
-0.1032 -0.0634 8.8606
Na Y Hg
1 2 4
Direct
0.0000 0.0000 0.0000
0.7508 0.7508 0.7477
0.2492 0.2492 0.2523
0.8730 0.8730 0.3810
0.1270 0.1270 0.6190
0.6236 0.6236 0.1293
0.3764 0.3764 0.8707
```

Properties
The total magnetization is 0.0 μB per formula unit. The raw total energy comes out at -0.180 Ry/atom.


(3)
The following is a PBE calculation of a geometry-optimized NaYHg2 structure, from the Alexandria database.

```
NaYHg2
1.0
-0.8651 0.4948 -3.6023
0.4767 -2.7933 -2.4372
-8.7617 -3.6969 -0.3427
Na Y Hg
1 1 2
Direct
0.4998 0.4998 0.5007
0.6668 0.6668 0.9996
0.0813 0.0813 0.7561
0.2521 0.2521 0.2436
```

Properties
The total magnetization is 0.0 μB per formula unit. The raw total energy comes out at -0.171 Ry/atom.